Entry 1:
First-principles (GGA-PBE) data for Si2AsBr2 after structural relaxation, as listed in Alexandria.

```
Si2AsBr2
1.0
-2.747 2.747 4.213
2.747 -2.747 4.213
2.747 2.747 -4.213
Si As Br
2 1 2
direct
0.250 0.750 0.500
0.750 0.250 0.500
0.000 0.000 0.000
0.317 0.317 0.000
0.683 0.683 0.000
```

Calculated values
DFT total energy (eV/atom): -2.949
Total moment (μB per formula unit): 0.00
Offset from the most stable computed form (meV per atom): 131
SG: No. 139

=====

Entry 2:
First-principles (GGA-PBE) data for Ca8PdPt5 after structural relaxation, as listed in Alexandria.

```
Ca8PdPt5
1.0
-4.395 4.395 4.405
4.395 -4.395 4.405
4.395 4.395 -4.405
Ca Pd Pt
8 1 5
direct
0.017 0.625 0.748
0.238 0.491 0.110
0.375 0.123 0.392
0.382 0.129 0.890
0.509 0.618 0.747
0.731 0.983 0.608
0.871 0.762 0.253
0.877 0.269 0.252
0.000 0.000 0.000
0.121 0.244 0.623
0.250 0.750 0.500
0.501 0.879 0.123
0.622 0.499 0.377
0.756 0.378 0.877
```

Calculated values
DFT total energy (eV/atom): -4.460
Total moment (μB per formula unit): 0.00
SG: No. 82
Energy of formation from the pure elements (eV/atom): -0.79

=====

Entry 3:
First-principles (GGA-PBE) data for La4Ho5Th after structural relaxation, as listed in Alexandria.

```
La4Ho5Th
1.0
3.652 0.000 0.000
0.000 3.652 0.000
0.000 0.000 25.187
La Ho Th
4 5 1
direct
0.000 0.000 0.101
0.000 0.000 0.302
0.000 0.000 0.698
0.000 0.000 0.899
0.500 0.500 0.000
0.500 0.500 0.202
0.500 0.500 0.406
0.500 0.500 0.594
0.500 0.500 0.798
0.000 0.000 0.500
```

Calculated values
DFT total energy (eV/atom): -4.979
Total moment (μB per formula unit): 0.00
Offset from the most stable computed form (meV per atom): 0
SG: No. 123
Energy of formation from the pure elements (eV/atom): 0.02

=====

Density of states at the Fermi level in states/eV/f.u., matching the order above: 4.52; 5.07; 14.84